Record 1
Compound: ZrTeMo
Source: the Alexandria database
Functional: GGA-PBE
Structure: optimized geometry

a b c (Å): 3.5628 3.5628 10.7328
angles (deg): 90.00 90.00 90.00
Space group P4/nmm (No. 129, origin choice 2)
Unique sites:
Zr 0.2500 0.2500 0.2139
Te 0.2500 0.2500 0.6486
Mo 0.2500 0.2500 0.9351

Output
Formation energy (no corrections), meV/atom: -382.8
Calculated total energy, eV/f.u.: -23.67



Record 2
Compound: ErThHgC
Source: the Alexandria database
Functional: GGA-PBE
Structure: optimized geometry

a b c (Å): 6.2629 3.6196 8.2356
angles (deg): 90.00 104.58 90.00
Space group Cm (No. 8)
Unique sites:
Er 0.0000 0.0000 0.0000
Th 0.2165 0.0000 0.6488
Hg 0.4365 0.0000 0.3090
C 0.1099 0.5000 0.8297

Output
Calculated formation energy, eV per atom: -0.391
Calculated total energy, eV/f.u.: -23.07



Record 3
Compound: CsCd4Hg
Source: the Alexandria database
Functional: GGA-PBE
Structure: optimized geometry

a b c (Å): 9.1006 9.1006 9.1006
angles (deg): 90.00 90.00 90.00
Space group F-43m (No. 216)
Unique sites:
Cs 0.0000 0.0000 0.0000
Cd 0.1238 0.1238 0.3762
Hg 0.2500 0.2500 0.7500

Output
Calculated formation energy, eV per atom: 0.006
Calculated total energy, eV/f.u.: -4.78



Record 4
Compound: Mg3Si4
Source: the Alexandria database
Functional: GGA-PBE
Structure: optimized geometry

a b c (Å): 3.7367 7.8606 9.6355
angles (deg): 108.63 99.86 90.22
Space group P1 (No. 1)
Unique sites:
Mg 0.0000 0.0000 0.0000
Mg 0.0866 0.6696 0.3000
Mg 0.3048 0.6922 0.7529
Mg 0.4801 0.3670 0.0625
Mg 0.5824 0.0654 0.3137
Mg 0.6705 0.4640 0.4743
Si 0.0697 0.2991 0.2523
Si 0.1451 0.9973 0.5210
Si 0.2543 0.3172 0.6378
Si 0.4293 0.0478 0.7886
Si 0.4716 0.7429 0.1000
Si 0.6790 0.8319 0.5743
Si 0.8390 0.2990 0.7994
Si 0.8970 0.6129 0.9457

Output
Formation energy (no corrections), meV/atom: 91.1
Calculated total energy, eV/f.u.: -25.84



Record 5
Compound: Pr6ZnPt2I3
Source: the Alexandria database
Functional: GGA-PBE
Structure: optimized geometry

a b c (Å): 7.4895 12.9192 8.4642
angles (deg): 90.00 107.11 90.00
Space group C2/m (No. 12)
Unique sites:
Pr 0.2181 0.0000 0.1943
Pr 0.2400 0.3268 0.1977
Zn 0.0000 0.5000 0.0000
Pt 0.0000 0.1678 0.0000
I 0.0000 0.0000 0.5000
I 0.0000 0.3380 0.5000

Output
Formation energy (no corrections), meV/atom: -903.9
Calculated total energy, eV/f.u.: -57.53



Record 6
Compound: TlOs3
Source: the Alexandria database
Functional: GGA-PBE
Structure: optimized geometry

a b c (Å): 5.1064 5.1064 5.1064
angles (deg): 90.00 90.00 90.00
Space group Pm-3m (No. 221)
Unique sites:
Tl 0.0000 0.0000 0.0000
Os 0.0000 0.0000 0.5000

Output
Calculated formation energy, eV per atom: 4.316
Calculated total energy, eV/f.u.: -18.79



Record 7
Compound: Li2FeMo
Source: the Alexandria database
Functional: GGA-PBE
Structure: optimized geometry

a b c (Å): 10.4252 2.7183 4.2303
angles (deg): 90.00 113.17 90.00
Space group C2/m (No. 12)
Unique sites:
Li 0.2353 0.0000 0.2355
Fe 0.0000 0.5000 0.0000
Mo 0.0000 0.0000 0.5000

Output
Calculated formation energy, eV per atom: 0.345
Calculated total energy, eV/f.u.: -21.74



Record 8
Compound: NdTcO4
Source: the Alexandria database
Functional: GGA-PBE
Structure: optimized geometry

a b c (Å): 5.1089 5.6319 5.6350
angles (deg): 90.00 90.00 90.00
Space group Pnc2 (No. 30)
Unique sites:
Nd 0.0000 0.0000 0.0000
Tc 0.5000 0.0000 0.4948
O 0.2482 0.1724 0.3293
O 0.2715 0.6807 0.1823

Output
Formation energy (no corrections), meV/atom: -2194.4
Calculated total energy, eV/f.u.: -48.13



Record 9
Compound: Sc2Os2W
Source: the Alexandria database
Functional: GGA-PBE
Structure: optimized geometry

a b c (Å): 6.5303 6.5303 4.3984
angles (deg): 90.00 90.00 90.00
Space group P4/mbm (No. 127)
Unique sites:
Sc 0.1793 0.3207 0.0000
Os 0.1325 0.6325 0.5000
W 0.0000 0.0000 0.5000

Output
Calculated formation energy, eV per atom: -0.133
Calculated total energy, eV/f.u.: -48.74



Record 10
Compound: Pm6Nd2Th
Source: the Alexandria database
Functional: GGA-PBE
Structure: optimized geometry

a b c (Å): 3.6419 3.6419 27.2484
angles (deg): 90.00 90.00 120.00
Space group P-6m2 (No. 187)
Unique sites:
Pm 0.0000 0.0000 0.0632
Pm 0.0000 0.0000 0.2828
Pm 0.3333 0.6667 0.3922
Nd 0.3333 0.6667 0.1700
Th 0.0000 0.0000 0.5000

Output
Calculated formation energy, eV per atom: 0.070
Calculated total energy, eV/f.u.: -44.83



Record 11
Compound: K3LaMg
Source: the Alexandria database
Functional: GGA-PBE
Structure: optimized geometry

a b c (Å): 7.2277 7.2277 7.2277
angles (deg): 90.00 90.00 90.00
Space group Pm-3m (No. 221)
Unique sites:
K 0.0000 0.0000 0.5000
La 0.0000 0.0000 0.0000
Mg 0.5000 0.5000 0.5000

Output
Calculated formation energy, eV per atom: 0.984
Calculated total energy, eV/f.u.: -4.89



Record 12
Compound: BiN
Source: the Alexandria database
Functional: GGA-PBE
Structure: optimized geometry

a b c (Å): 5.3413 5.3413 5.0493
angles (deg): 90.00 90.00 90.00
Space group P4_2/mnm (No. 136)
Unique sites:
Bi 0.2255 0.2255 0.0000
N 0.2130 0.7870 0.0000

Output
Formation energy (no corrections), meV/atom: 718.3
Calculated total energy, eV/f.u.: -10.77



Question: What is the calculated total energy in the first record?
Answer: -23.67 eV/f.u.



Question: What is the formula in the seventh record?
Answer: Li2FeMo